Entry 1:
Material: Tb4Nd2Cd
Method: DFT, PBE
State: optimized geometry

```
7
Lattice="8.570 -1.805 0.000 8.570 1.805 0.000 -3.828 0.000 7.325" Properties=species:S:1:pos:R:3 pbc="T T T"
Tb 0.106 0.000 1.728
Tb 6.007 0.000 0.239
Tb 7.305 0.000 7.086
Tb 13.205 0.000 5.597
Nd 3.496 0.000 2.707
Nd 9.815 0.000 4.618
Cd 6.656 0.000 3.662
```

Formation energy from the elements (kcal/mol of atoms): 0.1
Spin magnetization (μB/atom): 0.000
Symmetry: C2/m (12)


Entry 2:
Material: Tb2Nd2Cd
Method: DFT, PBE
State: optimized geometry

```
5
Lattice="-1.825 1.825 11.697 1.825 -1.825 11.697 1.825 1.825 -11.697" Properties=species:S:1:pos:R:3 pbc="T T T"
Tb 0.000 0.000 2.010
Tb 0.000 0.000 21.384
Nd 0.000 0.000 7.165
Nd 0.000 0.000 16.228
Cd 0.000 0.000 11.697
```

Formation energy from the elements (kcal/mol of atoms): -2.7
Spin magnetization (μB/atom): 0.006
Symmetry: I4/mmm (139)


Entry 3:
Material: TbNdCd
Method: DFT, PBE
State: optimized geometry

```
6
Lattice="1.870 -8.609 0.000 1.870 8.609 0.000 0.000 0.000 5.554" Properties=species:S:1:pos:R:3 pbc="T T T"
Tb 1.870 4.702 4.165
Tb 1.870 -4.702 1.388
Nd 1.870 7.112 1.388
Nd 1.870 -7.112 4.165
Cd 1.870 1.256 1.388
Cd 1.870 -1.256 4.165
```

Formation energy from the elements (kcal/mol of atoms): -5.0
Spin magnetization (μB/atom): 0.000
Symmetry: Cmcm (63)


Let's list ρ in order: 7.6; 7.7; 7.7 g/cm³.
Let's list uncorrected energy in order: -4.13; -4.06; -3.66 eV per atom.